# 1
FeIBr5 | PBE | relaxed

Output
E_form (uncorrected) = -23.3 kJ/mol of atoms
V = 42.98 Å³/atom
DOS at the Fermi energy = 3.3 states/eV per cell

a = 7.996 Å, b = 7.999 Å, c = 10.327 Å
α = 104.48°, β = 104.46°, γ = 99.18°
Space group P-1 (No. 2)
Asymmetric unit:
Fe: 0.200 0.301 0.250 [2 per cell]
I: 0.000 0.000 0.500 [1 per cell]
I: 0.500 0.500 0.000 [1 per cell]
Br: 0.066 0.760 0.922 [2 per cell]
Br: 0.235 0.055 0.348 [2 per cell]
Br: 0.256 0.244 0.750 [2 per cell]
Br: 0.261 0.567 0.422 [2 per cell]
Br: 0.446 0.265 0.153 [2 per cell]

=====

# 2
FeI2Br | PBE | relaxed

Output
E_form (uncorrected) = -14.3 kJ/mol of atoms
E above lowest polymorph = 0.058 eV/atom
V = 33.14 Å³/atom
DOS at the Fermi energy = 15.6 states/eV per cell

a = 6.960 Å, b = 6.563 Å, c = 11.609 Å
α = 90.00°, β = 90.00°, γ = 90.00°
Space group Pnna (No. 52)
Asymmetric unit:
Fe: 0.250 0.000 0.099 [4 per cell]
I: 0.071 0.230 0.922 [8 per cell]
Br: 0.110 0.250 0.250 [4 per cell]

=====

# 3
Fe2IBr6 | PBE | relaxed

Output
E_form (uncorrected) = -33.9 kJ/mol of atoms
V = 44.43 Å³/atom
DOS at the Fermi energy = 20.5 states/eV per cell

a = 16.270 Å, b = 14.635 Å, c = 6.749 Å
α = 90.00°, β = 95.57°, γ = 90.00°
Space group C2/c (No. 15)
Asymmetric unit:
Fe: 0.237 0.074 0.317 [8 per cell]
I: 0.000 0.199 0.250 [4 per cell]
Br: 0.124 0.405 0.668 [8 per cell]
Br: 0.163 0.203 0.168 [8 per cell]
Br: 0.186 0.067 0.651 [8 per cell]

=====

# 4
Fe2I7Br2 | PBE | relaxed

Output
E_form (uncorrected) = -7.0 kJ/mol of atoms
V = 56.12 Å³/atom
DOS at the Fermi energy = 8.0 states/eV per cell

a = 7.728 Å, b = 13.466 Å, c = 12.157 Å
α = 90.00°, β = 102.62°, γ = 90.00°
Space group C2/m (No. 12)
Asymmetric unit:
Fe: 0.069 0.000 0.298 [4 per cell]
I: 0.000 0.000 0.500 [2 per cell]
I: 0.090 0.159 0.791 [8 per cell]
I: 0.107 0.500 0.695 [4 per cell]
Br: 0.000 0.158 0.000 [4 per cell]

=====

# 5
FeI2Br2 | PBE | relaxed

Output
E_form (uncorrected) = -19.8 kJ/mol of atoms
V = 38.95 Å³/atom
DOS at the Fermi energy = 4.0 states/eV per cell

a = 9.605 Å, b = 12.350 Å, c = 3.304 Å
α = 90.00°, β = 96.47°, γ = 90.00°
Space group C2/m (No. 12)
Asymmetric unit:
Fe: 0.000 0.000 0.000 [2 per cell]
I: 0.000 0.235 0.000 [4 per cell]
Br: 0.196 0.000 0.564 [4 per cell]

=====

# 6
FeI4Br2 | PBE | relaxed

Output
E_form (uncorrected) = -4.9 kJ/mol of atoms
V = 48.12 Å³/atom
DOS at the Fermi energy = 14.4 states/eV per cell

a = 8.269 Å, b = 9.066 Å, c = 9.011 Å
α = 90.00°, β = 94.21°, γ = 90.00°
Space group C2/m (No. 12)
Asymmetric unit:
Fe: 0.000 0.000 0.000 [2 per cell]
I: 0.026 0.000 0.715 [4 per cell]
I: 0.123 0.500 0.398 [4 per cell]
Br: 0.222 0.500 0.950 [4 per cell]

=====

# 7
Fe2IBr8 | PBE | relaxed

Output
E_form (uncorrected) = -27.4 kJ/mol of atoms
V = 41.44 Å³/atom
DOS at the Fermi energy = 8.4 states/eV per cell

a = 13.692 Å, b = 8.265 Å, c = 8.106 Å
α = 90.00°, β = 96.36°, γ = 90.00°
Space group C2/m (No. 12)
Asymmetric unit:
Fe: 0.229 0.000 0.329 [4 per cell]
I: 0.000 0.000 0.000 [2 per cell]
Br: 0.113 0.500 0.737 [4 per cell]
Br: 0.131 0.217 0.184 [8 per cell]
Br: 0.208 0.000 0.610 [4 per cell]

=====

# 8
Fe3I5Br2 | PBE | relaxed

Output
E_form (uncorrected) = -11.3 kJ/mol of atoms
V = 45.99 Å³/atom
DOS at the Fermi energy = 39.2 states/eV per cell

a = 13.532 Å, b = 17.663 Å, c = 7.696 Å
α = 90.00°, β = 90.00°, γ = 90.00°
Space group Ibam (No. 72)
Asymmetric unit:
Fe: 0.000 0.000 0.250 [4 per cell]
Fe: 0.149 0.449 0.000 [8 per cell]
I: 0.000 0.500 0.250 [4 per cell]
I: 0.006 0.108 0.500 [8 per cell]
I: 0.226 0.000 0.250 [8 per cell]
Br: 0.141 0.320 0.000 [8 per cell]

=====

# 9
Fe5I12Br2 | PBE | relaxed

Output
E_form (uncorrected) = -11.2 kJ/mol of atoms
V = 45.41 Å³/atom
DOS at the Fermi energy = 13.2 states/eV per cell

a = 12.468 Å, b = 13.193 Å, c = 11.618 Å
α = 90.00°, β = 115.45°, γ = 90.00°
Space group C2/m (No. 12)
Asymmetric unit:
Fe: 0.000 0.000 0.000 [2 per cell]
Fe: 0.062 0.000 0.390 [4 per cell]
Fe: 0.204 0.000 0.887 [4 per cell]
I: 0.007 0.138 0.820 [8 per cell]
I: 0.180 0.355 0.151 [8 per cell]
I: 0.216 0.500 0.514 [4 per cell]
I: 0.250 0.000 0.127 [4 per cell]
Br: 0.000 0.135 0.500 [4 per cell]

=====

# 10
Fe5I12Br3 | PBE | relaxed

Output
E_form (uncorrected) = 8.7 kJ/mol of atoms
V = 35.90 Å³/atom
DOS at the Fermi energy = 225.6 states/eV per cell

a = 17.909 Å, b = 17.909 Å, c = 17.909 Å
α = 90.00°, β = 90.00°, γ = 90.00°
Space group Ia-3d (No. 230)
Asymmetric unit:
Fe: 0.000 0.000 0.000 [16 per cell]
Fe: 0.000 0.250 0.375 [24 per cell]
I: 0.035 0.046 0.647 [96 per cell]
Br: 0.000 0.250 0.125 [24 per cell]

=====

# 11
FeI3Br | PBE | relaxed

Output
E_form (uncorrected) = -14.0 kJ/mol of atoms
E above lowest polymorph = 0.000 eV/atom
V = 44.44 Å³/atom
DOS at the Fermi energy = 3.5 states/eV per cell

a = 7.017 Å, b = 9.025 Å, c = 7.735 Å
α = 90.00°, β = 114.88°, γ = 90.00°
Space group P2_1/m (No. 11)
Asymmetric unit:
Fe: 0.142 0.250 0.272 [2 per cell]
I: 0.242 0.018 0.484 [4 per cell]
I: 0.313 0.250 0.048 [2 per cell]
Br: 0.207 0.750 0.939 [2 per cell]

=====

# 12
FeIBr4 | PBE | relaxed

Output
E_form (uncorrected) = -10.8 kJ/mol of atoms
V = 45.07 Å³/atom
DOS at the Fermi energy = 26.9 states/eV per cell

a = 11.313 Å, b = 11.313 Å, c = 8.452 Å
α = 90.00°, β = 90.00°, γ = 90.00°
Space group I4_1md (No. 109)
Asymmetric unit:
Fe: 0.000 0.000 0.000 [4 per cell]
I: 0.000 0.000 0.498 [4 per cell]
Br: 0.000 0.353 0.054 [8 per cell]
Br: 0.000 0.353 0.444 [8 per cell]

=====

# 13
FeI2Br | PBE | relaxed

Output
E_form (uncorrected) = 26.5 kJ/mol of atoms
E above lowest polymorph = 0.481 eV/atom
V = 32.78 Å³/atom
DOS at the Fermi energy = 24.6 states/eV per cell

a = 7.275 Å, b = 7.275 Å, c = 9.909 Å
α = 90.00°, β = 90.00°, γ = 90.00°
Space group I-42d (No. 122)
Asymmetric unit:
Fe: 0.000 0.000 0.000 [4 per cell]
I: 0.146 0.750 0.125 [8 per cell]
Br: 0.000 0.000 0.500 [4 per cell]

=====

# 14
KFeIBr2 | PBE | relaxed

Output
E_form (uncorrected) = 48.7 kJ/mol of atoms
E above lowest polymorph = 1.244 eV/atom
V = 58.49 Å³/atom
DOS at the Fermi energy = 17.9 states/eV per cell

a = 5.720 Å, b = 5.720 Å, c = 8.939 Å
α = 90.00°, β = 90.00°, γ = 90.00°
Space group P4/mmm (No. 123)
Asymmetric unit:
K: 0.000 0.000 0.000 [1 per cell]
Fe: 0.000 0.000 0.500 [1 per cell]
I: 0.500 0.500 0.500 [1 per cell]
Br: 0.000 0.500 0.000 [2 per cell]

=====

# 15
KFeIBr2 | PBE | relaxed

Output
E_form (uncorrected) = -71.3 kJ/mol of atoms
E above lowest polymorph = 0.000 eV/atom
V = 31.51 Å³/atom
DOS at the Fermi energy = 4.5 states/eV per cell

a = 5.207 Å, b = 5.207 Å, c = 5.811 Å
α = 90.00°, β = 90.00°, γ = 90.00°
Space group P4/mmm (No. 123)
Asymmetric unit:
K: 0.000 0.000 0.000 [1 per cell]
Fe: 0.500 0.500 0.500 [1 per cell]
I: 0.500 0.500 0.000 [1 per cell]
Br: 0.000 0.500 0.500 [2 per cell]

=====

# 16
KFeIBr2 | PBE | relaxed

Output
E_form (uncorrected) = -26.1 kJ/mol of atoms
E above lowest polymorph = 0.468 eV/atom
V = 44.95 Å³/atom
DOS at the Fermi energy = 8.4 states/eV per cell

a = 4.813 Å, b = 4.813 Å, c = 9.701 Å
α = 90.00°, β = 90.00°, γ = 90.00°
Space group P4/mmm (No. 123)
Asymmetric unit:
K: 0.000 0.000 0.000 [1 per cell]
Fe: 0.000 0.000 0.500 [1 per cell]
I: 0.500 0.500 0.000 [1 per cell]
Br: 0.000 0.500 0.500 [2 per cell]

=====

# 17
La4FeI2Br | PBE | relaxed

Output
E_form (uncorrected) = -81.0 kJ/mol of atoms
V = 32.90 Å³/atom
DOS at the Fermi energy = 6.3 states/eV per cell

a = 7.942 Å, b = 4.149 Å, c = 8.291 Å
α = 90.00°, β = 105.55°, γ = 90.00°
Space group P2/m (No. 10)
Asymmetric unit:
La: 0.190 0.000 0.183 [2 per cell]
La: 0.225 0.500 0.796 [2 per cell]
Fe: 0.000 0.500 0.000 [1 per cell]
I: 0.000 0.000 0.500 [1 per cell]
I: 0.500 0.500 0.500 [1 per cell]
Br: 0.500 0.000 0.000 [1 per cell]

=====

# 18
MgFe2I6Br2 | PBE | relaxed

Output
E_form (uncorrected) = -41.8 kJ/mol of atoms
V = 43.53 Å³/atom

a = 7.3105 Å, b = 7.3105 Å, c = 10.3448 Å
α = 90.00°, β = 90.00°, γ = 120.00°
Space group P-3 (No. 147)
Asymmetric unit:
Mg: 0.0000 0.0000 0.0000 [1 per cell]
Fe: 0.3333 0.6667 0.7523 [2 per cell]
I: 0.0008 0.6746 0.8306 [6 per cell]
Br: 0.3333 0.6667 0.5307 [2 per cell]